First-principles (PBE) data for a relaxed structure of PmPPbO5, as listed in Alexandria.

Cell: 6.0769 6.0769 8.0104 Å, 103.38 103.38 108.29°
Atoms (fractional coordinates):
Pm 0.0000 0.0000 0.0000
Pm 0.0000 0.0000 0.5000
P 0.3150 0.6850 0.7500
P 0.6850 0.3150 0.2500
Pb 0.3199 0.6801 0.2500
Pb 0.6801 0.3199 0.7500
O 0.1002 0.8998 0.2500
O 0.1186 0.6797 0.8508
O 0.2424 0.4319 0.6066
O 0.3203 0.8814 0.6492
O 0.4319 0.2424 0.1066
O 0.5681 0.7576 0.8934
O 0.6797 0.1186 0.3508
O 0.7576 0.5681 0.3934
O 0.8814 0.3203 0.1492
O 0.8998 0.1002 0.7500

The size of the total moment is 0.001 μB per atom. Its energy is -57.98 eV/f.u. The density of states at the Fermi level comes out at 0.000 states/eV/cell.

***

First-principles (PBE) data for a relaxed structure of K4Pd2Pb3, as listed in Alexandria.

Cell: 9.1873 9.1873 8.5006 Å, 108.16 108.16 27.89°
Atoms (fractional coordinates):
K 0.0899 0.0899 0.3859
K 0.2734 0.2734 0.8340
K 0.7266 0.7266 0.1660
K 0.9101 0.9101 0.6141
Pd 0.0764 0.0764 0.9181
Pd 0.9236 0.9236 0.0819
Pb 0.4061 0.4061 0.2774
Pb 0.5000 0.5000 0.0000
Pb 0.5939 0.5939 0.7226

The size of the total moment is 0.000 μB per atom. Its energy is -27.47 eV/f.u. The density of states at the Fermi level comes out at 4.562 states/eV/cell.

***

First-principles (PBE) data for a relaxed structure of HfSc3Pa, as listed in Alexandria.

Cell: 8.6061 8.6061 6.5310 Å, 103.17 103.17 30.42°
Atoms (fractional coordinates):
Hf 0.0994 0.0994 0.0613
Hf 0.9006 0.9006 0.9387
Sc 0.1008 0.1008 0.5493
Sc 0.3002 0.3002 0.1397
Sc 0.4981 0.4981 0.7630
Sc 0.5019 0.5019 0.2370
Sc 0.6998 0.6998 0.8603
Sc 0.8992 0.8992 0.4507
Pa 0.2973 0.2973 0.6402
Pa 0.7027 0.7027 0.3598

The size of the total moment is 0.000 μB per atom. Its energy is -38.12 eV/f.u. The density of states at the Fermi level comes out at 11.665 states/eV/cell.

***

First-principles (PBE) data for a relaxed structure of InHgSb2, as listed in Alexandria.

Cell: 5.3284 5.3284 5.3284 Å, 60.00 60.00 60.00°
Atoms (fractional coordinates):
In 0.0000 0.0000 0.0000
Hg 0.5000 0.5000 0.5000
Sb 0.2500 0.2500 0.2500
Sb 0.7500 0.7500 0.7500

The size of the total moment is 0.000 μB per atom. The density of states at the Fermi level comes out at 1.997 states/eV/cell. As for the energy above the most stable polymorph in this dataset: 0.138 eV/atom.

***

First-principles (PBE) data for a relaxed structure of Bi2Pb3S6, as listed in Alexandria.

Cell: 7.1505 7.1505 21.2347 Å, 92.69 92.69 33.41°
Atoms (fractional coordinates):
Bi 0.0973 0.0973 0.1348
Bi 0.3580 0.3580 0.4517
Bi 0.6420 0.6420 0.5483
Bi 0.9027 0.9027 0.8652
Pb 0.0749 0.0749 0.3640
Pb 0.1751 0.1751 0.7661
Pb 0.3664 0.3664 0.0461
Pb 0.6336 0.6336 0.9539
Pb 0.8249 0.8249 0.2339
Pb 0.9251 0.9251 0.6360
S 0.0000 0.0000 0.0000
S 0.0000 0.0000 0.5000
S 0.1845 0.1845 0.2495
S 0.2656 0.2656 0.8992
S 0.2707 0.2707 0.5797
S 0.4348 0.4348 0.3365
S 0.4670 0.4670 0.1630
S 0.5330 0.5330 0.8370
S 0.5652 0.5652 0.6635
S 0.7293 0.7293 0.4203
S 0.7344 0.7344 0.1008
S 0.8155 0.8155 0.7505

The size of the total moment is 0.000 μB per atom. As for the energy above the most stable polymorph in this dataset: 0.000 eV/atom.

***

First-principles (PBE) data for a relaxed structure of Pm6HIr2Br3, as listed in Alexandria.

Cell: 7.0190 7.0190 8.0976 Å, 98.34 98.34 119.94°
Atoms (fractional coordinates):
Pm 0.1014 0.4349 0.8048
Pm 0.2314 0.2314 0.1947
Pm 0.4349 0.1014 0.8048
Pm 0.5651 0.8986 0.1952
Pm 0.7686 0.7686 0.8053
Pm 0.8986 0.5651 0.1952
H 0.5000 0.5000 0.0000
Ir 0.1667 0.8333 0.0000
Ir 0.8333 0.1667 0.0000
Br 0.0000 0.0000 0.5000
Br 0.3320 0.6680 0.5000
Br 0.6680 0.3320 0.5000

The size of the total moment is 0.000 μB per atom. Its energy is -66.19 eV/f.u. The density of states at the Fermi level comes out at 6.571 states/eV/cell.

***

First-principles (PBE) data for a relaxed structure of TcHg3Cl9, as listed in Alexandria.

Cell: 10.2598 10.2598 11.6126 Å, 117.34 117.34 50.94°
Atoms (fractional coordinates):
Tc 0.2249 0.7751 0.5000
Tc 0.7751 0.2249 0.0000
Hg 0.0104 0.7544 0.1240
Hg 0.1225 0.3595 0.7608
Hg 0.3595 0.1225 0.2608
Hg 0.5080 0.6914 0.8468
Hg 0.6914 0.5080 0.3468
Hg 0.7544 0.0104 0.6240
Cl 0.0104 0.9372 0.0120
Cl 0.0151 0.3319 0.5325
Cl 0.1032 0.6180 0.3192
Cl 0.2063 0.8710 0.3427
Cl 0.2465 0.4008 0.9885
Cl 0.2513 0.6717 0.6636
Cl 0.3319 0.0151 0.0325
Cl 0.3437 0.9339 0.6861
Cl 0.4008 0.2465 0.4885
Cl 0.5133 0.5352 0.4854
Cl 0.5352 0.5133 0.9854
Cl 0.6180 0.1032 0.8192
Cl 0.6713 0.7874 0.4163
Cl 0.6717 0.2513 0.1636
Cl 0.7874 0.6713 0.9163
Cl 0.8710 0.2063 0.8427
Cl 0.9339 0.3437 0.1861
Cl 0.9372 0.0104 0.5120

The size of the total moment is 0.154 μB per atom. Its energy is -35.27 eV/f.u. The density of states at the Fermi level comes out at 0.984 states/eV/cell.

***

First-principles (PBE) data for a relaxed structure of TbThGaOs, as listed in Alexandria.

Cell: 5.0515 5.0515 5.0515 Å, 60.00 60.00 60.00°
Atoms (fractional coordinates):
Tb 0.0000 0.0000 0.0000
Th 0.5000 0.5000 0.5000
Ga 0.2500 0.2500 0.2500
Os 0.7500 0.7500 0.7500

The size of the total moment is 0.000 μB per atom. The density of states at the Fermi level comes out at 2.523 states/eV/cell. As for the energy above the most stable polymorph in this dataset: 0.201 eV/atom.